Material: LiInAu2O
Method: DFT, PBE
State: optimized geometry

Properties
- formation energy from raw total energies (eV/atom) = 0.84
- symmetry = P4/mmm, No. 123
- calculated density (Mg/m³) = 5.9
- V (Å³ per atom) = 29.8

abc: 5.1204 5.6740 5.1204
angles: 90.00 90.00 90.00
Last column: nearest neighbours and their distance in Å.
Positions (direct):
Li 0.0000 0.5000 0.0000  2 In 2.84
Au 0.0000 0.0000 0.5000  2 In 2.56
Au 0.5000 0.0000 0.0000  2 In 2.56
O 0.5000 0.5000 0.5000  4 Li 3.62, 8 Au 3.82
In 0.0000 0.0000 0.0000  4 Au 2.56, 2 Li 2.84